An optimized crystal structure of Ho3Si4Ge4, computed with GGA-PBE.

Structure (POSCAR):
```
Ho3Si4Ge4
1.0
-2.125 3.407 7.511
2.125 -3.407 7.511
2.125 3.407 -7.511
Ge Ho Si
4 3 4
direct
0.216 0.216 0.000 Ge
0.784 0.784 0.000 Ge
0.685 0.500 0.185 Ge
0.315 0.500 0.815 Ge
0.000 0.000 0.000 Ho
0.631 0.131 0.500 Ho
0.369 0.869 0.500 Ho
0.668 0.346 0.322 Si
0.976 0.654 0.322 Si
0.024 0.346 0.678 Si
0.332 0.654 0.678 Si
```

Computed properties:
- Space-group type: Immm, No. 71
- Calculated density: 6.85 g/cm³
- Energy: -56.87 eV per cell

=====

An optimized crystal structure of Ac3Zn4Ge4, computed with GGA-PBE.

Structure (POSCAR):
```
Ac3Zn4Ge4
1.0
4.412 0.000 0.000
0.000 4.539 0.000
2.197 2.268 12.765
Ac Ge Zn
3 4 4
direct
0.000 0.000 0.000 Ac
0.353 0.853 0.295 Ac
0.647 0.147 0.705 Ac
0.450 0.452 0.100 Ge
0.805 0.306 0.389 Ge
0.195 0.694 0.611 Ge
0.550 0.548 0.900 Ge
0.904 0.403 0.192 Zn
0.750 0.751 0.499 Zn
0.250 0.249 0.501 Zn
0.096 0.597 0.808 Zn
```

Computed properties:
- Space-group type: P-1, No. 2
- Calculated density: 8.01 g/cm³
- Energy: -41.98 eV per cell